# FeAs PBEsol relaxed
# Calculated density in Mg/m³: 8.8
# Raw total energy in eV/atom: -7.079
# Calculated formation energy in eV per atom: -0.04
data_FeAs
_chemical_formula_sum 'Fe4 As4'
_cell_length_a 8.2770
_cell_length_b 2.9488
_cell_length_c 4.1343
_cell_angle_alpha 90.00
_cell_angle_beta 101.95
_cell_angle_gamma 90.00
_space_group_name_H-M_alt 'C 1 2/m 1'
_space_group_IT_number 12
_space_group_name_Hall '-C 2y'
loop_
_atom_site_label
_atom_site_type_symbol
_atom_site_fract_x
_atom_site_fract_y
_atom_site_fract_z
_atom_site_occupancy
Fe1 Fe 0.1083 0.0000 0.2959 1
As1 As 0.1209 0.5000 0.7970 1